Here is a relaxed TbBePt crystal from OQMD. Energies are from PBE-GGA.

The structure belongs to space group F-43m (No. 216); the cell edges are 6.3430, 6.3430 and 6.3430 Å and the angles 90.00°, 90.00° and 90.00°. The inequivalent atoms are Tb at (0.0000, 0.0000, 0.0000), Be at (0.0000, 0.0000, 0.5000) and Pt at (0.2500, 0.2500, 0.7500).

The value obtained for the volume is 255 Å³ per cell. As for the energy above the most stable polymorph in this dataset: 0.000 eV per atom.